Record 1
Here is a relaxed structure of Ba2CaPrSe4 from Alexandria. Energies are from GGA-PBE.

Unit cell a=7.6860 b=4.4357 c=7.8301 alpha=90.00 beta=109.13 gamma=90.00
Last column: nearest neighbours and their distance in Å.
Sites, in units of the cell vectors:
Ba  0.0000  0.0000  0.0000  6 Se 3.28-3.29
Ba  0.5000  0.5000  0.0000  6 Se 3.29
Ca  0.0000  0.5000  0.5000  6 Se 3.04
Pr  0.5000  0.0000  0.5000  6 Se 3.04-3.05
Se  0.2399  0.0000  0.7212  2 Ca 3.04, 1 Pr 3.04, 3 Ba 3.29
Se  0.2581  0.5000  0.2772  1 Ca 3.04, 2 Pr 3.05, 3 Ba 3.28-3.29
Se  0.7419  0.5000  0.7228  1 Ca 3.04, 2 Pr 3.05, 3 Ba 3.28-3.29
Se  0.7601  0.0000  0.2788  2 Ca 3.04, 1 Pr 3.04, 3 Ba 3.29

Symmetry ... P2/m (10)
E_form (uncorrected) ... -1958 meV per atom
Density of states at the Fermi level ... 0.35 states/eV per atom

***

Record 2
Here is a relaxed structure of BaCaTbPr from Alexandria. Energies are from GGA-PBE.

Unit cell a=8.6626 b=8.6626 c=8.6626 alpha=90.00 beta=90.00 gamma=90.00
Last column: nearest neighbours and their distance in Å.
Sites, in units of the cell vectors:
Ba  0.0000  0.0000  0.0000  4 Ca 3.75, 4 Tb 3.75
Ba  0.0000  0.5000  0.5000  4 Ca 3.75, 4 Tb 3.75
Ba  0.5000  0.0000  0.5000  4 Ca 3.75, 4 Tb 3.75
Ba  0.5000  0.5000  0.0000  4 Ca 3.75, 4 Tb 3.75
Ca  0.2500  0.2500  0.7500  4 Ba 3.75, 4 Pr 3.75
Ca  0.2500  0.7500  0.2500  4 Ba 3.75, 4 Pr 3.75
Ca  0.7500  0.2500  0.2500  4 Ba 3.75, 4 Pr 3.75
Ca  0.7500  0.7500  0.7500  4 Ba 3.75, 4 Pr 3.75
Tb  0.2500  0.2500  0.2500  4 Ba 3.75, 4 Pr 3.75
Tb  0.2500  0.7500  0.7500  4 Ba 3.75, 4 Pr 3.75
Tb  0.7500  0.2500  0.7500  4 Ba 3.75, 4 Pr 3.75
Tb  0.7500  0.7500  0.2500  4 Ba 3.75, 4 Pr 3.75
Pr  0.0000  0.0000  0.5000  4 Tb 3.75, 4 Ca 3.75
Pr  0.0000  0.5000  0.0000  4 Tb 3.75, 4 Ca 3.75
Pr  0.5000  0.0000  0.0000  4 Tb 3.75, 4 Ca 3.75
Pr  0.5000  0.5000  0.5000  4 Tb 3.75, 4 Ca 3.75

Symmetry ... F-43m (216)
Density of states at the Fermi level ... 1.52 states/eV per atom
Formation energy from the elements ... 0.1995 eV per atom

***

Record 3
Here is a relaxed structure of Ba3CaPr2Te6 from Alexandria. Energies are from GGA-PBE.

Unit cell a=8.1644 b=8.1644 c=8.3171 alpha=99.42 beta=99.42 gamma=119.98
Last column: nearest neighbours and their distance in Å.
Sites, in units of the cell vectors:
Ba  0.0000  0.0000  0.0000  6 Te 3.47-3.49
Ba  0.3326  0.6674  0.0000  6 Te 3.47-3.49
Ba  0.6674  0.3326  0.0000  6 Te 3.47-3.49
Ca  0.5000  0.5000  0.5000  6 Te 3.23
Pr  0.1661  0.8339  0.5000  6 Te 3.25
Pr  0.8339  0.1661  0.5000  6 Te 3.25
Te  0.0943  0.4255  0.2759  1 Ca 3.23, 2 Pr 3.25, 3 Ba 3.47-3.49
Te  0.2440  0.2440  0.7246  1 Ca 3.23, 2 Pr 3.25, 3 Ba 3.48-3.49
Te  0.4255  0.0943  0.2759  1 Ca 3.23, 2 Pr 3.25, 3 Ba 3.47-3.49
Te  0.5745  0.9057  0.7241  1 Ca 3.23, 2 Pr 3.25, 3 Ba 3.47-3.49
Te  0.7560  0.7560  0.2754  1 Ca 3.23, 2 Pr 3.25, 3 Ba 3.48-3.49
Te  0.9057  0.5745  0.7241  1 Ca 3.23, 2 Pr 3.25, 3 Ba 3.47-3.49

Symmetry ... C2/m (12)
E_form (uncorrected) ... -1622 meV per atom
Density of states at the Fermi level ... 0.28 states/eV per atom

***

Record 4
Here is a relaxed structure of BaCaPr2Te4 from Alexandria. Energies are from GGA-PBE.

Unit cell a=7.9687 b=4.5915 c=8.1731 alpha=90.00 beta=108.92 gamma=90.00
Last column: nearest neighbours and their distance in Å.
Sites, in units of the cell vectors:
Ba  0.0000  0.0000  0.0000  6 Te 3.37-3.38
Ca  0.5000  0.5000  0.0000  6 Te 3.26-3.27
Pr  0.0000  0.5000  0.5000  6 Te 3.30
Pr  0.5000  0.0000  0.5000  6 Te 3.19
Te  0.2602  0.0000  0.7462  3 Pr 3.19-3.30, 2 Ca 3.26, 1 Ba 3.37
Te  0.2654  0.5000  0.2629  3 Pr 3.19-3.30, 1 Ca 3.27, 2 Ba 3.38
Te  0.7346  0.5000  0.7371  3 Pr 3.19-3.30, 1 Ca 3.27, 2 Ba 3.38
Te  0.7398  0.0000  0.2538  3 Pr 3.19-3.30, 2 Ca 3.26, 1 Ba 3.37

Symmetry ... P2/m (10)
E_form (uncorrected) ... -1531 meV per atom
Density of states at the Fermi level ... 0.49 states/eV per atom